(1)
The following is a PBE calculation of TbDyPS after structural relaxation, from Alexandria via LeMat-Bulk.

Computed properties:
DFT total energy (eV/f.u.): -26.27
Density of states at the Fermi level (states/eV/f.u.): 1.530

Unit cell a=3.968 b=3.968 c=6.899 alpha=73.29 beta=73.29 gamma=60.00
Fractional positions:
Dy1 0.197 0.197 0.409
P1 0.944 0.944 0.169
Tb1 0.691 0.691 0.927
S1 0.445 0.445 0.666



(2)
The following is a PBE calculation of NbSb after structural relaxation, from Alexandria via LeMat-Bulk.

Computed properties:
DFT total energy (eV/f.u.): -12.53
Density of states at the Fermi level (states/eV/f.u.): 3.164

Unit cell a=6.384 b=6.384 c=6.384 alpha=90.00 beta=90.00 gamma=90.00
Each line ends with the local moment (μB).
Fractional positions:
Sb1 0.000 0.000 0.000  -0.09
Sb2 0.500 0.500 0.000  -0.09
Sb3 0.000 0.500 0.500  -0.09
Sb4 0.500 0.000 0.500  -0.09
Nb1 0.250 0.750 0.750  1.62
Nb2 0.750 0.750 0.250  1.62
Nb3 0.250 0.250 0.250  1.62
Nb4 0.750 0.250 0.750  1.62



(3)
The following is a PBE calculation of La3Tm8Th after structural relaxation, from Alexandria via LeMat-Bulk.

Computed properties:
DFT total energy (eV/f.u.): -54.64
Density of states at the Fermi level (states/eV/f.u.): 19.189

Unit cell a=8.715 b=8.715 c=8.715 alpha=98.74 beta=96.52 gamma=137.27
Fractional positions:
La1 0.000 0.500 0.500
La2 0.500 0.262 0.762
La3 0.500 0.738 0.238
Tm1 0.998 0.750 0.248
Tm2 0.002 0.250 0.752
Tm3 0.498 0.250 0.248
Tm4 0.502 0.750 0.752
Tm5 0.826 0.752 0.578
Tm6 0.174 0.248 0.422
Tm7 0.826 0.248 0.073
Tm8 0.174 0.752 0.927
Th1 0.000 0.000 0.000



(4)
The following is a PBE calculation of SiB3Pb after structural relaxation, from Alexandria via LeMat-Bulk.

Computed properties:
DFT total energy (eV/f.u.): -21.96
Density of states at the Fermi level (states/eV/f.u.): 2.775
Relative energy among the computed polymorphs (meV per atom): 0

Unit cell a=4.146 b=4.146 c=4.146 alpha=90.00 beta=90.00 gamma=90.00
Fractional positions:
Pb1 0.500 0.500 0.500
B1 0.000 0.500 0.000
B2 0.000 0.000 0.500
B3 0.500 0.000 0.000
Si1 0.000 0.000 0.000



- Number 2 is which compound?
  NbSb



What did the third record say?
The following is a PBE calculation of La3Tm8Th after structural relaxation, from Alexandria via LeMat-Bulk.

Computed properties:
DFT total energy (eV/f.u.): -54.64
Density of states at the Fermi level (states/eV/f.u.): 19.189

Unit cell a=8.715 b=8.715 c=8.715 alpha=98.74 beta=96.52 gamma=137.27
Fractional positions:
La1 0.000 0.500 0.500
La2 0.500 0.262 0.762
La3 0.500 0.738 0.238
Tm1 0.998 0.750 0.248
Tm2 0.002 0.250 0.752
Tm3 0.498 0.250 0.248
Tm4 0.502 0.750 0.752
Tm5 0.826 0.752 0.578
Tm6 0.174 0.248 0.422
Tm7 0.826 0.248 0.073
Tm8 0.174 0.752 0.927
Th1 0.000 0.000 0.000



- Among the records above, which one has the highest DFT total energy?
  NbSb